(1)
Computed, not measured: a relaxed structure of Y8MgCd2 at the PBE-GGA level of DFT.

a b c (Å): 16.307 5.387 8.549
angles (deg): 90.00 120.56 90.00
Space group C2/m (No. 12)
Unique sites:
Y 0.065 0.000 0.222
Y 0.096 0.500 0.957
Y 0.139 0.000 0.689
Y 0.182 0.500 0.449
Mg 0.000 0.500 0.500
Cd 0.228 0.000 0.123

Calculated values
Its density of states at the Fermi level is 26.57 states/eV per cell. As for the energy of formation from the pure elements: -0.13 eV/atom. For the magnetic moment, the calculation gives 0.00 μB per cell. The total energy comes out at -5.1393 eV/atom.

(2)
Computed, not measured: a relaxed structure of LaTl3As2O8 at the PBE-GGA level of DFT.

a b c (Å): 6.1282 6.1282 8.0138
angles (deg): 90.00 90.00 120.00
Space group P-3m1 (No. 164)
Unique sites:
La 0.0000 0.0000 0.0000
Tl 0.0000 0.0000 0.5000
Tl 0.3333 0.6667 0.2253
As 0.3333 0.6667 0.7410
O 0.1805 0.3609 0.8193
O 0.3333 0.6667 0.5304

Calculated values
Its density of states at the Fermi level is 0.00 states/eV per cell. The value obtained for the uncorrected formation energy is -22.255 eV per formula unit. For the magnetic moment, the calculation gives 0.00 μB per cell. The total energy comes out at -5.9462 eV/atom.

(3)
Computed, not measured: a relaxed structure of Li2Ac2TeO6 at the PBE-GGA level of DFT.

a b c (Å): 5.7419 5.7419 5.8455
angles (deg): 90.00 90.00 120.00
Space group P-3 (No. 147)
Unique sites:
Li 0.3333 0.6667 0.4004
Ac 0.3333 0.6667 0.9040
Te 0.0000 0.0000 0.5000
O 0.0406 0.3380 0.2751

Calculated values
Its density of states at the Fermi level is 0.00 states/eV per cell. The value obtained for the uncorrected formation energy is -22.429 eV per formula unit. For the magnetic moment, the calculation gives 0.00 μB per cell. The total energy comes out at -6.1240 eV/atom.

(4)
Computed, not measured: a relaxed structure of ZrSn2Sb2 at the PBE-GGA level of DFT.

a b c (Å): 7.917 7.917 4.231
angles (deg): 90.00 90.00 90.00
Space group P4/mbm (No. 127)
Unique sites:
Zr 0.000 0.000 0.000
Sn 0.135 0.365 0.000
Sb 0.182 0.682 0.500

Calculated values
Its density of states at the Fermi level is 8.59 states/eV per cell. The value obtained for the uncorrected formation energy is 0.402 eV per formula unit. For the magnetic moment, the calculation gives 0.00 μB per cell. The total energy comes out at -4.8793 eV/atom.

(5)
Computed, not measured: a relaxed structure of Fe4Tc5 at the PBE-GGA level of DFT.

a b c (Å): 7.939 7.939 3.750
angles (deg): 90.00 90.00 90.00
Space group I4/mmm (No. 139)
Unique sites:
Fe 0.000 0.340 0.000
Tc 0.000 0.000 0.000
Tc 0.170 0.170 0.500

Calculated values
Its density of states at the Fermi level is 17.79 states/eV per cell. The calculation puts the distance to the lowest polymorph of the same formula at 0 meV/atom. As for the energy of formation from the pure elements: 0.10 eV/atom. For the magnetic moment, the calculation gives 13.37 μB per cell. The total energy comes out at -9.4244 eV/atom.

(6)
Computed, not measured: a relaxed structure of SiSN2O at the PBE-GGA level of DFT.

a b c (Å): 3.775 3.775 3.682
angles (deg): 90.00 90.00 90.00
Space group P4/mmm (No. 123)
Unique sites:
Si 0.000 0.000 0.000
S 0.500 0.500 0.000
N 0.000 0.500 0.500
O 0.500 0.500 0.500

Calculated values
Its density of states at the Fermi level is 2.77 states/eV per cell. The value obtained for the uncorrected formation energy is 10.291 eV per formula unit. For the magnetic moment, the calculation gives 0.12 μB per cell. The total energy comes out at -4.1736 eV/atom.

(7)
Computed, not measured: a relaxed structure of RbNb3Co at the PBE-GGA level of DFT.

a b c (Å): 4.742 4.742 4.742
angles (deg): 90.00 90.00 90.00
Space group Pm-3m (No. 221)
Unique sites:
Rb 0.000 0.000 0.000
Nb 0.000 0.000 0.500
Co 0.500 0.500 0.500

Calculated values
Its density of states at the Fermi level is 11.28 states/eV per cell. The calculation puts the distance to the lowest polymorph of the same formula at 1829 meV/atom. As for the energy of formation from the pure elements: 3.11 eV/atom. For the magnetic moment, the calculation gives 0.00 μB per cell. The total energy comes out at -4.5507 eV/atom.

(8)
Computed, not measured: a relaxed structure of CsH2I at the PBE-GGA level of DFT.

a b c (Å): 5.111 15.063 6.082
angles (deg): 90.00 90.00 90.00
Space group Cmcm (No. 63)
Unique sites:
Cs 0.000 0.107 0.250
H 0.000 0.277 0.688
I 0.000 0.390 0.250

Calculated values
Its density of states at the Fermi level is 0.00 states/eV per cell. The calculation puts the distance to the lowest polymorph of the same formula at 21 meV/atom. For the magnetic moment, the calculation gives 0.00 μB per cell. The total energy comes out at -3.0232 eV/atom.

(9)
Computed, not measured: a relaxed structure of K2LaB2 at the PBE-GGA level of DFT.

a b c (Å): 5.254 5.254 9.475
angles (deg): 90.00 90.00 90.00
Space group I4/mmm (No. 139)
Unique sites:
K 0.000 0.000 0.144
La 0.000 0.000 0.500
B 0.000 0.500 0.250

Calculated values
Its density of states at the Fermi level is 18.94 states/eV per cell. The calculation puts the distance to the lowest polymorph of the same formula at 135 meV/atom. As for the energy of formation from the pure elements: 1.54 eV/atom. For the magnetic moment, the calculation gives 0.00 μB per cell. The total energy comes out at -2.5562 eV/atom.

(10)
Computed, not measured: a relaxed structure of CsTaRhF2 at the PBE-GGA level of DFT.

a b c (Å): 4.064 4.064 7.882
angles (deg): 90.00 90.00 90.00
Space group P4/mmm (No. 123)
Unique sites:
Cs 0.000 0.000 0.000
Ta 0.000 0.000 0.500
Rh 0.500 0.500 0.000
F 0.000 0.500 0.500

Calculated values
Its density of states at the Fermi level is 4.26 states/eV per cell. The value obtained for the uncorrected formation energy is -1.439 eV per formula unit. For the magnetic moment, the calculation gives 1.56 μB per cell. The total energy comes out at -5.0478 eV/atom.

(11)
Computed, not measured: a relaxed structure of ZrW3 at the PBE-GGA level of DFT.

a b c (Å): 4.841 5.357 5.505
angles (deg): 90.00 90.00 90.00
Space group Pmmn (No. 59, origin choice 2)
Unique sites:
Zr 0.250 0.250 0.126
W 0.250 0.509 0.637
W 0.250 0.750 0.177

Calculated values
Its density of states at the Fermi level is 6.32 states/eV per cell. As for the energy of formation from the pure elements: 0.43 eV/atom. For the magnetic moment, the calculation gives 0.00 μB per cell. The total energy comes out at -11.4212 eV/atom.

(12)
Computed, not measured: a relaxed structure of Th4HgSb at the PBE-GGA level of DFT.

a b c (Å): 7.643 7.643 6.256
angles (deg): 90.00 90.00 90.00
Space group P4/mcc (No. 124)
Unique sites:
Th 0.153 0.345 0.000
Hg 0.000 0.000 0.250
Sb 0.500 0.500 0.250

Calculated values
Its density of states at the Fermi level is 10.90 states/eV per cell. The calculation puts the distance to the lowest polymorph of the same formula at 0 meV/atom. The value obtained for the uncorrected formation energy is -2.150 eV per formula unit. For the magnetic moment, the calculation gives 0.00 μB per cell. The total energy comes out at -6.0423 eV/atom.